# SmIn3Cu

A relaxed SmIn3Cu crystal (GGA-PBE, Alexandria via LeMat-Bulk).

Cell lengths 4.4613, 9.0216, 11.5326 Å; angles 90.00, 90.00, 90.00 degrees
Fractional positions:
In  0.7500  0.4364  0.9139
In  0.2500  0.0636  0.4139
In  0.7500  0.9364  0.5861
In  0.2500  0.5636  0.0861
In  0.7500  0.1390  0.7906
Sm  0.2500  0.1860  0.9963
In  0.7500  0.6390  0.7094
In  0.2500  0.8890  0.8030
Cu  0.2500  0.1050  0.6433
Cu  0.7500  0.8950  0.3567
In  0.2500  0.8610  0.2094
In  0.2500  0.3610  0.2906
Sm  0.2500  0.6860  0.5037
In  0.7500  0.1110  0.1970
Cu  0.7500  0.3950  0.1433
Sm  0.7500  0.3140  0.4963
In  0.7500  0.6110  0.3030
Sm  0.7500  0.8140  0.0037
Cu  0.2500  0.6050  0.8567
In  0.2500  0.3890  0.6970

Summary:
Fermi-level density of states   0.321 states/eV per atom
Size of the total moment   0.0 μB per cell
ΔE_f   -0.29 eV per atom
Density   8.0 g/cm3